# PBE NaMg2Zr, relaxed
data_NaMg2Zr
_space_group_name_H-M_alt 'P 4/m m m'
_space_group_IT_number 123
_space_group_name_Hall '-P 4 2'
_cell_length_a 3.2029
_cell_length_b 3.2029
_cell_length_c 9.7956
_cell_angle_alpha 90.00
_cell_angle_beta 90.00
_cell_angle_gamma 90.00
loop_
_atom_site_label
_atom_site_fract_x
_atom_site_fract_y
_atom_site_fract_z
Na1 0.0000 0.0000 0.0000
Mg1 0.5000 0.5000 0.2783
Zr1 0.0000 0.0000 0.5000
# ρ (g/cm³): 2.69
# Calculated formation energy (eV/f.u.): 0.3
# Total magnetic moment (μB/f.u.): 0.00
# E above lowest polymorph (eV per formula unit): 0.00
# Crystal system: tetragonal
# Energy (eV/atom): -3.182

=====

# PBE Ac2Al4SnHg3, relaxed
data_Ac2Al4SnHg3
_space_group_name_H-M_alt 'P -4 m 2'
_space_group_IT_number 115
_cell_length_a 4.7241
_cell_length_b 4.7241
_cell_length_c 11.0198
_cell_angle_alpha 90.00
_cell_angle_beta 90.00
_cell_angle_gamma 90.00
loop_
_space_group_symop_operation_xyz
'x,y,z'
'y,-x,-z'
'-x,-y,z'
'-y,x,-z'
'-x,y,z'
'-y,-x,-z'
'x,-y,z'
'y,x,-z'
loop_
_atom_site_label
_atom_site_fract_x
_atom_site_fract_y
_atom_site_fract_z
Ac1 0.0000 0.5000 0.2443
Al1 0.0000 0.0000 0.0000
Al2 0.0000 0.5000 0.6365
Al3 0.5000 0.5000 0.0000
Sn1 0.0000 0.0000 0.5000
Hg1 0.0000 0.5000 0.8731
Hg2 0.5000 0.5000 0.5000
# ρ (g/cm³): 8.66
# Calculated formation energy (eV/f.u.): -3.5
# Total magnetic moment (μB/f.u.): 0.00
# Crystal system: tetragonal
# Energy (eV/atom): -3.160

=====

# PBE LaCuCl2, relaxed
data_LaCuCl2
_space_group_name_H-M_alt 'P 4/m m m'
_space_group_IT_number 123
_space_group_name_Hall '-P 4 2'
_cell_length_a 3.5129
_cell_length_b 3.5129
_cell_length_c 9.1703
_cell_angle_alpha 90.00
_cell_angle_beta 90.00
_cell_angle_gamma 90.00
loop_
_atom_site_label
_atom_site_fract_x
_atom_site_fract_y
_atom_site_fract_z
La1 0.0000 0.0000 0.0000
Cu1 0.0000 0.0000 0.5000
Cl1 0.5000 0.5000 0.1765
# ρ (g/cm³): 4.01
# Energy relative to the elements, uncorrected (meV/atom): -926
# Total magnetic moment (μB/f.u.): 0.00
# E above lowest polymorph (eV per formula unit): 0.97
# Crystal system: tetragonal
# Energy (eV/atom): -4.105

=====

# PBE Ta2MnAl, relaxed
data_Ta2MnAl
_space_group_name_H-M_alt 'R 3 m'
_space_group_IT_number 160
_space_group_name_Hall 'R 3 -2"'
_cell_length_a 2.8873
_cell_length_b 2.8873
_cell_length_c 27.7191
_cell_angle_alpha 90.00
_cell_angle_beta 90.00
_cell_angle_gamma 120.00
loop_
_atom_site_label
_atom_site_fract_x
_atom_site_fract_y
_atom_site_fract_z
Ta1 0.0000 0.0000 0.0000
Ta2 0.0000 0.0000 0.2417
Mn1 0.0000 0.0000 0.4953
Al1 0.0000 0.0000 0.7521
# ρ (g/cm³): 11.05
# Calculated formation energy (eV/f.u.): 0.5
# Total magnetic moment (μB/f.u.): 3.01
# Crystal system: trigonal
# Energy (eV/atom): -9.033

=====

# PBE H5Rh3Pb12, relaxed
data_H5Rh3Pb12
_space_group_name_H-M_alt 'I a -3 d'
_space_group_IT_number 230
_space_group_name_Hall '-I 4bd 2c 3'
_cell_length_a 15.2197
_cell_length_b 15.2197
_cell_length_c 15.2197
_cell_angle_alpha 90.00
_cell_angle_beta 90.00
_cell_angle_gamma 90.00
loop_
_atom_site_label
_atom_site_fract_x
_atom_site_fract_y
_atom_site_fract_z
H1 0.0000 0.0000 0.0000
H2 0.0000 0.2500 0.3750
Rh1 0.0000 0.2500 0.1250
Pb1 0.0297 0.0620 0.6537
# ρ (g/cm³): 10.55
# Total magnetic moment (μB/f.u.): 0.00
# Crystal system: cubic
# Energy (eV/atom): -3.937

=====

# PBE Hf2MnRu, relaxed
data_Hf2MnRu
_space_group_name_H-M_alt 'I -4 2 d'
_space_group_IT_number 122
_space_group_name_Hall 'I -4 2bw'
_cell_length_a 7.1445
_cell_length_b 7.1445
_cell_length_c 5.8072
_cell_angle_alpha 90.00
_cell_angle_beta 90.00
_cell_angle_gamma 90.00
loop_
_atom_site_label
_atom_site_fract_x
_atom_site_fract_y
_atom_site_fract_z
Hf1 0.2356 0.7500 0.1250
Mn1 0.0000 0.0000 0.5000
Ru1 0.0000 0.0000 0.0000
# ρ (g/cm³): 11.49
# Calculated formation energy (eV/f.u.): 0.9
# Total magnetic moment (μB/f.u.): 2.35
# Crystal system: tetragonal
# Energy (eV/atom): -9.370

=====

# PBE SrBi2Cl, relaxed
data_SrBi2Cl
_space_group_name_H-M_alt 'I -4 2 d'
_space_group_IT_number 122
_space_group_name_Hall 'I -4 2bw'
_cell_length_a 4.4815
_cell_length_b 4.4815
_cell_length_c 27.4557
_cell_angle_alpha 90.00
_cell_angle_beta 90.00
_cell_angle_gamma 90.00
loop_
_atom_site_label
_atom_site_fract_x
_atom_site_fract_y
_atom_site_fract_z
Sr1 0.0000 0.0000 0.0000
Bi1 0.2283 0.2500 0.1250
Cl1 0.0000 0.0000 0.5000
# ρ (g/cm³): 6.52
# Energy relative to the elements, uncorrected (meV/atom): -896
# Total magnetic moment (μB/f.u.): 0.00
# E above lowest polymorph (eV per formula unit): 0.00
# Crystal system: tetragonal
# Energy (eV/atom): -3.718

=====

# PBE InW2AuC, relaxed
data_InW2AuC
_space_group_name_H-M_alt 'P 4/m m m'
_space_group_IT_number 123
_space_group_name_Hall '-P 4 2'
_cell_length_a 4.9265
_cell_length_b 4.9265
_cell_length_c 5.0092
_cell_angle_alpha 90.00
_cell_angle_beta 90.00
_cell_angle_gamma 90.00
loop_
_atom_site_label
_atom_site_fract_x
_atom_site_fract_y
_atom_site_fract_z
In1 0.0000 0.0000 0.0000
W1 0.0000 0.5000 0.5000
Au1 0.0000 0.0000 0.5000
C1 0.5000 0.5000 0.0000
# ρ (g/cm³): 9.44
# Calculated formation energy (eV/f.u.): 17.0
# Total magnetic moment (μB/f.u.): 0.00
# Crystal system: tetragonal
# Energy (eV/atom): -4.834

=====

# PBE Nb2CoBBr, relaxed
data_Nb2CoBBr
_space_group_name_H-M_alt 'P 4/m m m'
_space_group_IT_number 123
_space_group_name_Hall '-P 4 2'
_cell_length_a 4.7562
_cell_length_b 4.7562
_cell_length_c 3.6679
_cell_angle_alpha 90.00
_cell_angle_beta 90.00
_cell_angle_gamma 90.00
loop_
_atom_site_label
_atom_site_fract_x
_atom_site_fract_y
_atom_site_fract_z
Nb1 0.0000 0.5000 0.0000
Co1 0.0000 0.0000 0.0000
B1 0.0000 0.0000 0.5000
Br1 0.5000 0.5000 0.5000
# ρ (g/cm³): 6.71
# Energy relative to the elements, uncorrected (meV/atom): 678
# Total magnetic moment (μB/f.u.): 0.81
# Crystal system: tetragonal
# Energy (eV/atom): -6.441

=====

# PBE Si2Te, relaxed
data_Si2Te
_space_group_name_H-M_alt 'P -6 m 2'
_space_group_IT_number 187
_space_group_name_Hall 'P -6 2'
_cell_length_a 3.6908
_cell_length_b 3.6908
_cell_length_c 6.1328
_cell_angle_alpha 90.00
_cell_angle_beta 90.00
_cell_angle_gamma 120.00
loop_
_atom_site_label
_atom_site_fract_x
_atom_site_fract_y
_atom_site_fract_z
Si1 0.0000 0.0000 0.1939
Te1 0.3333 0.6667 0.5000
# ρ (g/cm³): 4.22
# Energy relative to the elements, uncorrected (meV/atom): 741
# Total magnetic moment (μB/f.u.): 0.00
# E above lowest polymorph (eV per formula unit): 2.15
# Crystal system: hexagonal
# Energy (eV/atom): -3.921

=====

# PBE Gd2CuRe, relaxed
data_Gd2CuRe
_space_group_name_H-M_alt 'P 4/m m m'
_space_group_IT_number 123
_space_group_name_Hall '-P 4 2'
_cell_length_a 3.4504
_cell_length_b 3.4504
_cell_length_c 7.1982
_cell_angle_alpha 90.00
_cell_angle_beta 90.00
_cell_angle_gamma 90.00
loop_
_atom_site_label
_atom_site_fract_x
_atom_site_fract_y
_atom_site_fract_z
Gd1 0.0000 0.0000 0.2360
Cu1 0.5000 0.5000 0.5000
Re1 0.5000 0.5000 0.0000
# ρ (g/cm³): 10.93
# Calculated formation energy (eV/f.u.): 0.2
# Total magnetic moment (μB/f.u.): 13.86
# Crystal system: tetragonal
# Energy (eV/atom): -11.133

=====

# PBE HoIn5Hg4, relaxed
data_HoIn5Hg4
_space_group_name_H-M_alt 'C 1 2/m 1'
_space_group_IT_number 12
_cell_length_a 16.5108
_cell_length_b 3.6176
_cell_length_c 9.8306
_cell_angle_alpha 90.00
_cell_angle_beta 114.23
_cell_angle_gamma 90.00
loop_
_space_group_symop_operation_xyz
'x,y,z'
'-x,-y,-z'
'-x,y,-z'
'x,-y,z'
'x+1/2,y+1/2,z'
'-x+1/2,-y+1/2,-z'
'-x+1/2,y+1/2,-z'
'x+1/2,-y+1/2,z'
loop_
_atom_site_label
_atom_site_fract_x
_atom_site_fract_y
_atom_site_fract_z
Ho1 0.0000 0.0000 0.0000
In1 0.0000 0.0000 0.5000
In2 0.1829 0.5000 0.1283
In3 0.2038 0.5000 0.5932
Hg1 0.0527 0.5000 0.2869
Hg2 0.1310 0.0000 0.8363
# ρ (g/cm³): 9.56
# Calculated formation energy (eV/f.u.): -0.8
# Total magnetic moment (μB/f.u.): 0.00
# Crystal system: monoclinic
# Energy (eV/atom): -2.032